# GGA-PBE Hg3IrS, relaxed
# **Energy relative to the lowest polymorph listed for this composition**: 497.5 meV/atom
# **Formation energy from raw total energies**: 1.234 eV per atom
# **M_tot**: 0.0 Bohr magnetons per cell
data_Hg3IrS
_cell_length_a 5.017
_cell_length_b 5.017
_cell_length_c 5.017
_cell_angle_alpha 90.00
_cell_angle_beta 90.00
_cell_angle_gamma 90.00
_space_group_name_H-M_alt 'P m -3 m'
_space_group_IT_number 221
_space_group_name_Hall '-P 4 2 3'
loop_
_atom_site_label
_atom_site_fract_x
_atom_site_fract_y
_atom_site_fract_z
_atom_site_occupancy
Hg1 0.000 0.000 0.500 1
Ir1 0.500 0.500 0.500 1
S1 0.000 0.000 0.000 1

=====

# GGA-PBE DyYCd5, relaxed
# **ΔH_f (0 K)**: -0.098 eV per atom
# **M_tot**: 0.0 Bohr magnetons per cell
data_DyYCd5
_cell_length_a 5.120
_cell_length_b 5.120
_cell_length_c 6.964
_cell_angle_alpha 90.00
_cell_angle_beta 90.00
_cell_angle_gamma 90.00
_space_group_name_H-M_alt 'P 4/m m m'
_space_group_IT_number 123
_space_group_name_Hall '-P 4 2'
loop_
_atom_site_label
_atom_site_fract_x
_atom_site_fract_y
_atom_site_fract_z
_atom_site_occupancy
Dy1 0.000 0.000 0.000 1
Y1 0.500 0.500 0.500 1
Cd1 0.000 0.000 0.500 1
Cd2 0.000 0.500 0.234 1

=====

# GGA-PBE CaMoRu, relaxed
# **Energy relative to the lowest polymorph listed for this composition**: 0.0 meV/atom
# **ΔH_f (0 K)**: 0.289 eV per atom
# **M_tot**: 0.0 Bohr magnetons per cell
data_CaMoRu
_cell_length_a 3.198
_cell_length_b 3.198
_cell_length_c 11.577
_cell_angle_alpha 90.00
_cell_angle_beta 90.00
_cell_angle_gamma 90.00
_space_group_name_H-M_alt 'I 4 m m'
_space_group_IT_number 107
_space_group_name_Hall 'I 4 -2'
loop_
_atom_site_label
_atom_site_fract_x
_atom_site_fract_y
_atom_site_fract_z
_atom_site_occupancy
Ca1 0.000 0.000 0.000 1
Mo1 0.000 0.000 0.296 1
Ru1 0.000 0.000 0.693 1

=====

# GGA-PBE Tb4SmDy8, relaxed
# **ΔH_f (0 K)**: 0.199 eV per atom
# **M_tot**: 0.0 Bohr magnetons per cell
data_Tb4SmDy8
_cell_length_a 7.3009
_cell_length_b 7.3009
_cell_length_c 27.1172
_cell_angle_alpha 90.00
_cell_angle_beta 90.00
_cell_angle_gamma 120.00
_space_group_name_H-M_alt 'R -3 m'
_space_group_IT_number 166
_space_group_name_Hall '-R 3 2"'
loop_
_atom_site_label
_atom_site_fract_x
_atom_site_fract_y
_atom_site_fract_z
_atom_site_occupancy
Tb1 0.0000 0.0000 0.0000 1
Tb2 0.0000 0.5000 0.0000 1
Sm1 0.0000 0.0000 0.5000 1
Dy1 0.0000 0.0000 0.2177 1
Dy2 0.0374 0.5187 0.7684 1

=====

# GGA-PBE Li4SmPb, relaxed
# **ΔH_f (0 K)**: -0.107 eV per atom
# **M_tot**: 0.0 Bohr magnetons per cell
data_Li4SmPb
_cell_length_a 7.992
_cell_length_b 7.992
_cell_length_c 7.992
_cell_angle_alpha 90.00
_cell_angle_beta 90.00
_cell_angle_gamma 90.00
_space_group_name_H-M_alt 'F -4 3 m'
_space_group_IT_number 216
_space_group_name_Hall 'F -4 2 3'
loop_
_atom_site_label
_atom_site_fract_x
_atom_site_fract_y
_atom_site_fract_z
_atom_site_occupancy
Li1 0.125 0.125 0.125 1
Sm1 0.250 0.250 0.750 1
Pb1 0.000 0.000 0.500 1

=====

# GGA-PBE BaLa3Se4, relaxed
# **Formation energy from raw total energies**: -1.988 eV per atom
# **M_tot**: 0.0 Bohr magnetons per cell
data_BaLa3Se4
_cell_length_a 4.3789
_cell_length_b 4.3789
_cell_length_c 29.0859
_cell_angle_alpha 90.00
_cell_angle_beta 90.00
_cell_angle_gamma 120.00
_space_group_name_H-M_alt 'P 63/m m c'
_space_group_IT_number 194
_space_group_name_Hall '-P 6c 2c'
loop_
_atom_site_label
_atom_site_fract_x
_atom_site_fract_y
_atom_site_fract_z
_atom_site_occupancy
Ba1 0.3333 0.6667 0.2500 1
La1 0.0000 0.0000 0.0000 1
La2 0.3333 0.6667 0.6177 1
Se1 0.0000 0.0000 0.1780 1
Se2 0.3333 0.6667 0.0595 1

=====

# GGA-PBE VCu2Re, relaxed
# **Energy relative to the lowest polymorph listed for this composition**: 0.0 meV/atom
# **ΔH_f (0 K)**: 0.422 eV per atom
# **M_tot**: 0.0 Bohr magnetons per cell
data_VCu2Re
_cell_length_a 5.946
_cell_length_b 5.946
_cell_length_c 5.946
_cell_angle_alpha 90.00
_cell_angle_beta 90.00
_cell_angle_gamma 90.00
_space_group_name_H-M_alt 'F m -3 m'
_space_group_IT_number 225
_space_group_name_Hall '-F 4 2 3'
loop_
_atom_site_label
_atom_site_fract_x
_atom_site_fract_y
_atom_site_fract_z
_atom_site_occupancy
V1 0.000 0.000 0.000 1
Cu1 0.250 0.250 0.250 1
Re1 0.000 0.000 0.500 1

=====

# GGA-PBE KOsSe3, relaxed
# **Energy relative to the lowest polymorph listed for this composition**: 2075.0 meV/atom
# **Formation energy from raw total energies**: 2.130 eV per atom
# **M_tot**: 9.0 Bohr magnetons per cell
data_KOsSe3
_cell_length_a 5.794
_cell_length_b 5.794
_cell_length_c 5.794
_cell_angle_alpha 90.00
_cell_angle_beta 90.00
_cell_angle_gamma 90.00
_space_group_name_H-M_alt 'P m -3 m'
_space_group_IT_number 221
_space_group_name_Hall '-P 4 2 3'
loop_
_atom_site_label
_atom_site_fract_x
_atom_site_fract_y
_atom_site_fract_z
_atom_site_occupancy
K1 0.000 0.000 0.000 1
Os1 0.500 0.500 0.500 1
Se1 0.000 0.000 0.500 1

=====

# GGA-PBE W2SN, relaxed
# **Energy relative to the lowest polymorph listed for this composition**: 490.3 meV/atom
# **Formation energy from raw total energies**: 0.624 eV per atom
# **M_tot**: 0.0 Bohr magnetons per cell
data_W2SN
_cell_length_a 5.769
_cell_length_b 5.769
_cell_length_c 5.769
_cell_angle_alpha 90.00
_cell_angle_beta 90.00
_cell_angle_gamma 90.00
_space_group_name_H-M_alt 'F m -3 m'
_space_group_IT_number 225
_space_group_name_Hall '-F 4 2 3'
loop_
_atom_site_label
_atom_site_fract_x
_atom_site_fract_y
_atom_site_fract_z
_atom_site_occupancy
W1 0.250 0.250 0.250 1
S1 0.000 0.000 0.000 1
N1 0.000 0.000 0.500 1

=====

# GGA-PBE La2Pm3Y6Mg, relaxed
# **ΔH_f (0 K)**: 0.015 eV per atom
# **M_tot**: 0.0 Bohr magnetons per cell
data_La2Pm3Y6Mg
_cell_length_a 6.228
_cell_length_b 10.789
_cell_length_c 11.910
_cell_angle_alpha 90.00
_cell_angle_beta 100.06
_cell_angle_gamma 90.00
_space_group_name_H-M_alt 'C 1 2/m 1'
_space_group_IT_number 12
loop_
_space_group_symop_operation_xyz
'x,y,z'
'-x,-y,-z'
'-x,y,-z'
'x,-y,z'
'x+1/2,y+1/2,z'
'-x+1/2,-y+1/2,-z'
'-x+1/2,y+1/2,-z'
'x+1/2,-y+1/2,z'
loop_
_atom_site_label
_atom_site_fract_x
_atom_site_fract_y
_atom_site_fract_z
_atom_site_occupancy
La1 0.000 0.166 0.000 1
Pm1 0.000 0.000 0.500 1
Pm2 0.000 0.334 0.500 1
Y1 0.247 0.500 0.749 1
Y2 0.248 0.335 0.250 1
Mg1 0.000 0.500 0.000 1

=====

# GGA-PBE YGeW3, relaxed
# **Energy relative to the lowest polymorph listed for this composition**: 0.0 meV/atom
# **ΔH_f (0 K)**: 1.201 eV per atom
# **M_tot**: 0.0 Bohr magnetons per cell
data_YGeW3
_cell_length_a 4.708
_cell_length_b 4.708
_cell_length_c 4.708
_cell_angle_alpha 90.00
_cell_angle_beta 90.00
_cell_angle_gamma 90.00
_space_group_name_H-M_alt 'P m -3 m'
_space_group_IT_number 221
_space_group_name_Hall '-P 4 2 3'
loop_
_atom_site_label
_atom_site_fract_x
_atom_site_fract_y
_atom_site_fract_z
_atom_site_occupancy
Y1 0.000 0.000 0.000 1
Ge1 0.500 0.500 0.500 1
W1 0.000 0.500 0.500 1

=====

# GGA-PBE FeSbRu4, relaxed
# **Formation energy from raw total energies**: 0.593 eV per atom
# **M_tot**: 23.3 Bohr magnetons per cell
data_FeSbRu4
_cell_length_a 7.287
_cell_length_b 7.287
_cell_length_c 7.287
_cell_angle_alpha 90.00
_cell_angle_beta 90.00
_cell_angle_gamma 90.00
_space_group_name_H-M_alt 'F -4 3 m'
_space_group_IT_number 216
_space_group_name_Hall 'F -4 2 3'
loop_
_atom_site_label
_atom_site_fract_x
_atom_site_fract_y
_atom_site_fract_z
_atom_site_occupancy
Fe1 0.000 0.000 0.000 1
Sb1 0.250 0.250 0.250 1
Ru1 0.125 0.125 0.625 1

=====

# GGA-PBE ThSeO, relaxed
# **Energy relative to the lowest polymorph listed for this composition**: 0.0 meV/atom
# **Formation energy from raw total energies**: -2.915 eV per atom
# **M_tot**: 0.0 Bohr magnetons per cell
data_ThSeO
_cell_length_a 4.042
_cell_length_b 4.042
_cell_length_c 7.104
_cell_angle_alpha 90.00
_cell_angle_beta 90.00
_cell_angle_gamma 90.00
_space_group_name_H-M_alt 'P 4/n m m'
_space_group_IT_number 129
loop_
_space_group_symop_operation_xyz
'x,y,z'
'-x,-y,-z'
'-y+1/2,x,z'
'y+1/2,-x,-z'
'-x+1/2,-y+1/2,z'
'x+1/2,y+1/2,-z'
'y,-x+1/2,z'
'-y,x+1/2,-z'
'x+1/2,-y,-z'
'-x+1/2,y,z'
'-y,-x,-z'
'y,x,z'
'-x,y+1/2,-z'
'x,-y+1/2,z'
'y+1/2,x+1/2,-z'
'-y+1/2,-x+1/2,z'
loop_
_atom_site_label
_atom_site_fract_x
_atom_site_fract_y
_atom_site_fract_z
_atom_site_occupancy
Th1 0.250 0.250 0.188 1
Se1 0.250 0.250 0.636 1
O1 0.250 0.750 0.000 1

=====

# GGA-PBE Co3TcI, relaxed
# **Energy relative to the lowest polymorph listed for this composition**: 0.0 meV/atom
# **Formation energy from raw total energies**: 1.482 eV per atom
# **M_tot**: 2.4 Bohr magnetons per cell
data_Co3TcI
_cell_length_a 4.515
_cell_length_b 4.515
_cell_length_c 4.515
_cell_angle_alpha 90.00
_cell_angle_beta 90.00
_cell_angle_gamma 90.00
_space_group_name_H-M_alt 'P m -3 m'
_space_group_IT_number 221
_space_group_name_Hall '-P 4 2 3'
loop_
_atom_site_label
_atom_site_fract_x
_atom_site_fract_y
_atom_site_fract_z
_atom_site_occupancy
Co1 0.000 0.000 0.500 1
Tc1 0.000 0.000 0.000 1
I1 0.500 0.500 0.500 1

=====

# GGA-PBE Ce6OsC2Cl3, relaxed
# **Formation energy from raw total energies**: -0.902 eV per atom
# **M_tot**: 8.1 Bohr magnetons per cell
data_Ce6OsC2Cl3
_cell_length_a 18.020
_cell_length_b 3.779
_cell_length_c 8.498
_cell_angle_alpha 90.00
_cell_angle_beta 110.56
_cell_angle_gamma 90.00
_space_group_name_H-M_alt 'C 1 2/m 1'
_space_group_IT_number 12
loop_
_space_group_symop_operation_xyz
'x,y,z'
'-x,-y,-z'
'-x,y,-z'
'x,-y,z'
'x+1/2,y+1/2,z'
'-x+1/2,-y+1/2,-z'
'-x+1/2,y+1/2,-z'
'x+1/2,-y+1/2,z'
loop_
_atom_site_label
_atom_site_fract_x
_atom_site_fract_y
_atom_site_fract_z
_atom_site_occupancy
Ce1 0.021 0.000 0.248 1
Ce2 0.163 0.500 0.133 1
Ce3 0.181 0.500 0.557 1
Os1 0.000 0.500 0.000 1
C1 0.170 0.000 0.341 1
Cl1 0.000 0.500 0.500 1
Cl2 0.165 0.000 0.833 1

=====

# GGA-PBE TmZn8Ag3, relaxed
# **ΔH_f (0 K)**: -0.114 eV per atom
# **M_tot**: 0.0 Bohr magnetons per cell
data_TmZn8Ag3
_cell_length_a 5.1538
_cell_length_b 5.1538
_cell_length_c 8.6101
_cell_angle_alpha 90.00
_cell_angle_beta 90.00
_cell_angle_gamma 120.00
_space_group_name_H-M_alt 'P 3 m 1'
_space_group_IT_number 156
loop_
_space_group_symop_operation_xyz
'x,y,z'
'-y,x-y,z'
'-x+y,-x,z'
'-y,-x,z'
'-x+y,y,z'
'x,x-y,z'
loop_
_atom_site_label
_atom_site_fract_x
_atom_site_fract_y
_atom_site_fract_z
_atom_site_occupancy
Tm1 0.0000 0.0000 0.0000 1
Zn1 0.1628 0.3257 0.6855 1
Zn2 0.3333 0.6667 0.4450 1
Zn3 0.3333 0.6667 0.9386 1
Zn4 0.5022 0.0044 0.1970 1
Ag1 0.0000 0.0000 0.3677 1
Ag2 0.6667 0.3333 0.5047 1
Ag3 0.6667 0.3333 0.8773 1

=====

# GGA-PBE Ti3Be2Rh5, relaxed
# **ΔH_f (0 K)**: -0.751 eV per atom
# **M_tot**: 0.0 Bohr magnetons per cell
data_Ti3Be2Rh5
_cell_length_a 9.211
_cell_length_b 9.211
_cell_length_c 3.168
_cell_angle_alpha 90.00
_cell_angle_beta 90.00
_cell_angle_gamma 90.00
_space_group_name_H-M_alt 'P 4/m b m'
_space_group_IT_number 127
_space_group_name_Hall '-P 4 2ab'
loop_
_atom_site_label
_atom_site_fract_x
_atom_site_fract_y
_atom_site_fract_z
_atom_site_occupancy
Ti1 0.000 0.000 0.000 1
Ti2 0.173 0.327 0.000 1
Be1 0.124 0.624 0.000 1
Rh1 0.000 0.500 0.500 1
Rh2 0.074 0.791 0.500 1

=====

# GGA-PBE CoAg4Pt, relaxed
# **ΔH_f (0 K)**: 0.554 eV per atom
# **M_tot**: 8.2 Bohr magnetons per cell
data_CoAg4Pt
_cell_length_a 7.515
_cell_length_b 7.515
_cell_length_c 7.515
_cell_angle_alpha 90.00
_cell_angle_beta 90.00
_cell_angle_gamma 90.00
_space_group_name_H-M_alt 'F -4 3 m'
_space_group_IT_number 216
_space_group_name_Hall 'F -4 2 3'
loop_
_atom_site_label
_atom_site_fract_x
_atom_site_fract_y
_atom_site_fract_z
_atom_site_occupancy
Co1 0.000 0.000 0.000 1
Ag1 0.125 0.125 0.375 1
Pt1 0.250 0.250 0.750 1

=====

# GGA-PBE Nb2PtSe, relaxed
# **Formation energy from raw total energies**: 0.179 eV per atom
# **M_tot**: 0.0 Bohr magnetons per cell
data_Nb2PtSe
_cell_length_a 5.916
_cell_length_b 5.916
_cell_length_c 11.337
_cell_angle_alpha 90.00
_cell_angle_beta 90.00
_cell_angle_gamma 90.00
_space_group_name_H-M_alt 'I -4 2 d'
_space_group_IT_number 122
_space_group_name_Hall 'I -4 2bw'
loop_
_atom_site_label
_atom_site_fract_x
_atom_site_fract_y
_atom_site_fract_z
_atom_site_occupancy
Nb1 0.242 0.250 0.125 1
Pt1 0.000 0.000 0.000 1
Se1 0.000 0.000 0.500 1

=====

# GGA-PBE Ba2BeBiO6, relaxed
# **Formation energy from raw total energies**: -1.712 eV per atom
# **M_tot**: 1.0 Bohr magnetons per cell
data_Ba2BeBiO6
_cell_length_a 5.8784
_cell_length_b 5.8784
_cell_length_c 5.2570
_cell_angle_alpha 90.00
_cell_angle_beta 90.00
_cell_angle_gamma 120.00
_space_group_name_H-M_alt 'P -3 m 1'
_space_group_IT_number 164
_space_group_name_Hall '-P 3 2"'
loop_
_atom_site_label
_atom_site_fract_x
_atom_site_fract_y
_atom_site_fract_z
_atom_site_occupancy
Ba1 0.3333 0.6667 0.1704 1
Be1 0.0000 0.0000 0.0000 1
Bi1 0.0000 0.0000 0.5000 1
O1 0.1508 0.3017 0.7793 1

=====

# GGA-PBE LiAs3N, relaxed
# **Energy relative to the lowest polymorph listed for this composition**: 0.0 meV/atom
# **Formation energy from raw total energies**: 0.530 eV per atom
# **M_tot**: 0.0 Bohr magnetons per cell
data_LiAs3N
_cell_length_a 4.387
_cell_length_b 4.387
_cell_length_c 4.387
_cell_angle_alpha 90.00
_cell_angle_beta 90.00
_cell_angle_gamma 90.00
_space_group_name_H-M_alt 'P m -3 m'
_space_group_IT_number 221
_space_group_name_Hall '-P 4 2 3'
loop_
_atom_site_label
_atom_site_fract_x
_atom_site_fract_y
_atom_site_fract_z
_atom_site_occupancy
Li1 0.000 0.000 0.000 1
As1 0.000 0.500 0.500 1
N1 0.500 0.500 0.500 1

=====

For each record above, in turn, the calculated calculated density values are 10.9, 7.4, 6.7, 8.3, 5.0, 6.0, 11.5, 4.0, 14.3, 5.4, 11.3, 10.0, 9.4, 7.2, 7.1, 8.5, 8.4, 10.7, 7.7, 6.2, 4.8 Mg/m³.
For each record above, in turn, the calculated E values are -7.723, -16.327, -42.481, -172.399, -66.909, -93.095, -112.286, -12.131, -143.450, -128.603, -43.934, -184.512, -49.218, -25.823, -163.281, -24.588, -150.802, -84.917, -115.798, -58.323, -21.539 eV/cell.